Computed, not measured: a geometry-optimized ZrNb2HPd structure at the PBE level of DFT.

abc: 4.041 4.041 4.682
angles: 90.00 90.00 90.00
Element x y z (fractional)
Zr: 0.000 0.000 0.000
Nb: 0.000 0.500 0.500
Nb: 0.500 0.000 0.500
H: 0.000 0.000 0.500
Pd: 0.500 0.500 0.000

- space-group type = P4/mmm, No. 123
- crystal system = tetragonal
- energy (eV per atom) = -7.65